# 1
Here is an optimized crystal structure of YFeB4 from OQMD. Energies are from PBE-GGA.

Summary:
**Energy**: -7.108 eV/atom
**Energy above the most stable polymorph in this dataset**: 409 meV per atom
**SG**: No. 71

Lattice parameters (Å, degrees): 4.688 4.688 4.688 140.86 110.96 82.33
Atoms (fractional coordinates):
Y (0.000, 0.000, 0.000)
Fe (0.500, 0.500, 0.000)
B (0.088, 0.753, 0.335)
B (0.417, 0.753, 0.665)
B (0.583, 0.247, 0.335)
B (0.912, 0.247, 0.665)

=====

# 2
Here is an optimized crystal structure of YFe2B from OQMD. Energies are from PBE-GGA.

Summary:
**Energy**: -6.984 eV/atom
**SG**: No. 216

Lattice parameters (Å, degrees): 4.294 4.294 4.294 60.00 60.00 60.00
Atoms (fractional coordinates):
Y (0.000, 0.000, 0.000)
Fe (0.250, 0.250, 0.250)
Fe (0.500, 0.500, 0.500)
B (0.750, 0.750, 0.750)

=====

# 3
Here is an optimized crystal structure of Y2FeB from OQMD. Energies are from PBE-GGA.

Summary:
**Energy**: -6.326 eV/atom
**SG**: No. 216

Lattice parameters (Å, degrees): 4.549 4.549 4.549 60.00 60.00 60.00
Atoms (fractional coordinates):
Y (0.000, 0.000, 0.000)
Y (0.250, 0.250, 0.250)
Fe (0.750, 0.750, 0.750)
B (0.500, 0.500, 0.500)